1.
The following is a DFT calculation (PBE-GGA) of crystalline CsYTc3 at its relaxed geometry.

Structure (POSCAR):
```
CsYTc3
1.0
-2.755 -0.053 4.541
-1.183 -5.119 -0.778
4.384 -1.415 2.643
Cs Tc Y
1 3 1
Direct
0.500 0.500 0.500
0.000 0.000 0.500
0.000 0.500 0.000
0.500 0.000 0.000
0.000 0.000 0.000
```

Summary:
- Size of the total moment: 8.0 μB per cell
- SG: Pm-3m (221)
- Formation energy: 2264 meV/atom
- Excess energy over the best structure of this formula in the dataset: 0 meV per atom

---

2.
The following is a DFT calculation (PBE-GGA) of crystalline LiTl3Si at its relaxed geometry.

Structure (POSCAR):
```
LiTl3Si
1.0
5.469 0.000 0.000
0.000 5.469 0.000
0.000 0.000 5.469
Tl Li Si
3 1 1
Direct
0.000 0.000 0.500
0.000 0.500 0.000
0.500 0.000 0.000
0.500 0.500 0.500
0.000 0.000 0.000
```

Summary:
- Size of the total moment: 0.0 μB per cell
- SG: Pm-3m (221)
- Formation energy from raw total energies: 0.36 eV per atom
- Excess energy over the best structure of this formula in the dataset: 0 meV per atom

---

3.
The following is a DFT calculation (PBE-GGA) of crystalline LaSc2Nb at its relaxed geometry.

Structure (POSCAR):
```
LaSc2Nb
1.0
-2.111 -1.235 2.806
-2.681 -0.909 -2.417
2.884 -6.578 -0.726
Nb Sc La
1 2 1
Direct
0.500 0.500 0.000
0.000 0.000 0.200
0.000 0.000 0.800
0.500 0.500 0.500
```

Summary:
- Size of the total moment: 0.0 μB per cell
- SG: P4/mmm (123)
- Formation energy: 171 meV/atom
- Excess energy over the best structure of this formula in the dataset: 0 meV per atom

---

4.
The following is a DFT calculation (PBE-GGA) of crystalline Ac2PmRh at its relaxed geometry.

Structure (POSCAR):
```
Ac2PmRh
1.0
4.018 0.000 0.000
2.009 3.479 0.000
2.009 1.160 10.964
Rh Pm Ac
1 1 2
Direct
0.500 0.500 0.500
0.000 0.000 0.000
0.888 0.888 0.337
0.112 0.112 0.663
```

Summary:
- Size of the total moment: 0.2 μB per cell
- SG: R-3m (166)
- Formation energy: -106 meV/atom
- Excess energy over the best structure of this formula in the dataset: 297 meV per atom

---

5.
The following is a DFT calculation (PBE-GGA) of crystalline LaTaTl2 at its relaxed geometry.

Structure (POSCAR):
```
LaTaTl2
1.0
3.265 -0.003 0.000
0.002 3.265 0.000
0.000 0.000 9.180
La Tl Ta
1 2 1
Direct
0.500 0.500 0.250
0.000 0.000 0.974
0.000 0.000 0.526
0.500 0.500 0.750
```

Summary:
- Size of the total moment: 0.0 μB per cell
- SG: P4/mmm (123)
- Formation energy: 219 meV/atom

---

6.
The following is a DFT calculation (PBE-GGA) of crystalline Ac8Os2S at its relaxed geometry.

Structure (POSCAR):
```
Ac8Os2S
1.0
7.280 0.000 0.000
-3.640 6.843 -1.144
0.000 0.568 9.122
Ac Os S
8 2 1
Direct
0.073 0.145 0.692
0.089 0.692 0.858
0.343 0.687 0.474
0.603 0.692 0.858
0.927 0.855 0.308
0.397 0.308 0.142
0.657 0.313 0.526
0.911 0.308 0.142
0.140 0.280 0.392
0.860 0.720 0.608
0.000 0.000 0.000
```

Summary:
- Size of the total moment: 0.0 μB per cell
- SG: C2/m (12)
- Formation energy from raw total energies: -0.13 eV per atom

---

7.
The following is a DFT calculation (PBE-GGA) of crystalline Ac4CoHgBr2 at its relaxed geometry.

Structure (POSCAR):
```
Ac4CoHgBr2
1.0
4.300 0.000 0.000
0.000 8.193 0.013
0.000 -3.009 8.242
Br Co Ac Hg
2 1 4 1
Direct
0.000 0.500 0.500
0.500 0.000 0.500
0.500 0.500 0.000
0.500 0.296 0.199
0.500 0.704 0.801
0.000 0.727 0.196
0.000 0.273 0.804
0.000 0.000 0.000
```

Summary:
- Size of the total moment: 0.0 μB per cell
- SG: P2/m (10)
- Formation energy from raw total energies: -0.77 eV per atom

---

8.
The following is a DFT calculation (PBE-GGA) of crystalline Mg3AlB at its relaxed geometry.

Structure (POSCAR):
```
Mg3AlB
1.0
4.572 0.000 0.000
0.000 4.572 0.000
0.000 0.000 4.572
Mg Al B
3 1 1
Direct
0.000 0.500 0.000
0.000 0.000 0.500
0.500 0.000 0.000
0.500 0.500 0.500
0.000 0.000 0.000
```

Summary:
- Size of the total moment: 0.0 μB per cell
- SG: Pm-3m (221)
- Formation energy: 286 meV/atom
- Excess energy over the best structure of this formula in the dataset: 0 meV per atom

---

| no. | total energy (eV per atom) |
| --- | --- |
| 1 | -5.4189 |
| 2 | -2.5306 |
| 3 | -6.7438 |
| 4 | -5.1859 |
| 5 | -5.1588 |
| 6 | -5.5301 |
| 7 | -4.1693 |
| 8 | -2.7552 |